Record 1
SmScAu GGA-PBE relaxed; energy of formation = 0.036 eV/atom; E above lowest polymorph = 0.0 kJ per mole of atoms
1.0
0.000 3.343 3.343
3.343 0.000 3.343
3.343 3.343 0.000
Sm Au Sc
1 1 1
Direct
0.750 0.750 0.750 Sm
0.250 0.250 0.250 Au
0.000 0.000 0.000 Sc

Record 2
CsNpSc GGA-PBE relaxed; E above lowest polymorph = 17.1 kJ per mole of atoms
1.0
-0.909 -4.934 -1.368
-0.270 -3.701 3.643
-4.570 -2.211 1.127
Np Sc Cs
1 1 1
Direct
0.750 0.750 0.750 Np
0.250 0.250 0.250 Sc
0.000 0.000 0.000 Cs

Record 3
NdDy3Y2CoTe2 GGA-PBE relaxed; electronic total energy = -5.676 eV per atom
1.0
-3.184 -2.265 0.700
5.021 -6.699 1.167
-2.075 4.939 6.538
Y Te Dy Nd Co
2 2 3 1 1
Direct
0.000 0.600 0.999 Y
0.000 0.999 0.600 Y
0.500 0.672 0.331 Te
0.500 0.331 0.672 Te
0.500 0.001 0.234 Dy
0.500 0.765 0.765 Dy
0.500 0.234 0.001 Dy
0.000 0.407 0.407 Nd
0.000 0.992 0.992 Co

Record 4
Nd2ErSn3Ir2Pd GGA-PBE relaxed; electronic total energy = -6.267 eV per atom
1.0
-2.854 -2.552 -1.405
1.624 -4.851 5.512
-5.255 5.262 1.118
Pd Er Sn Nd Ir
1 1 3 2 2
Direct
0.000 0.994 0.994 Pd
0.000 0.588 0.588 Er
0.500 0.998 0.741 Sn
0.500 0.741 0.998 Sn
0.500 0.259 0.259 Sn
0.000 0.001 0.414 Nd
0.000 0.414 0.001 Nd
0.500 0.663 0.342 Ir
0.500 0.342 0.663 Ir

no.,M_tot (μB per formula unit)
1,0.001
2,5.742
3,0.017
4,0.005